Li2FeP2O7 PBEsol optimized geometry; formation energy from raw total energies = -2074 meV per atom; relative energy among the computed polymorphs = 0 kJ/mol of formula units; DOS(E_F) = 0.0 states/eV/f.u.; crystal system = triclinic; final energy = -7.18 eV per atom
1.0
4.988 0.000 0.000
-1.975 6.881 0.000
-0.872 -3.539 7.644
Li Fe P O
4 2 4 14
Cartesian
0.241 1.116 0.654
-0.475 2.325 5.440
2.616 1.016 2.204
1.900 2.225 6.991
-0.071 -0.983 2.974
2.212 4.324 4.670
-0.302 3.154 2.724
0.376 5.347 0.887
1.765 -2.006 6.757
2.444 0.187 4.920
-1.621 3.918 3.008
-0.564 1.708 2.343
-1.059 5.914 0.976
-1.146 4.130 5.804
0.311 3.816 1.403
0.058 1.712 7.135
1.464 0.061 3.755
0.677 3.280 3.890
2.083 1.630 0.510
1.831 -0.474 6.241
3.288 -0.788 1.840
3.201 -2.573 6.669
2.705 1.633 5.301
3.762 -0.577 4.637